Record 1
The following is a PBE calculation of a relaxed ScAl3Cd crystal, from Alexandria.

M_tot: 0.0 μB/f.u.
ΔE_f: 689 meV per atom

a b c (Å): 4.9890 4.9890 4.9890
angles (deg): 90.00 90.00 90.00
Space group Pm-3m (No. 221)
Inequivalent atoms, fractional coordinates:
Sc 0.0000 0.0000 0.0000
Al 0.0000 0.5000 0.5000
Cd 0.5000 0.5000 0.5000



Record 2
The following is a PBE calculation of a relaxed Sc2AlCd2 crystal, from Alexandria.

M_tot: 0.0 μB/f.u.
ΔE_f: -177 meV per atom
relative energy among the computed polymorphs: 93 meV per atom

a b c (Å): 7.1715 7.1715 4.2584
angles (deg): 90.00 90.00 90.00
Space group P4/mbm (No. 127)
Inequivalent atoms, fractional coordinates:
Sc 0.1665 0.3335 0.0000
Al 0.0000 0.0000 0.5000
Cd 0.1373 0.6373 0.5000



Fermi-level density of states per entry: 0.589; 0.737 states/eV per atom
Calculated total energy per entry: -3.0057; -3.8238 eV per atom